Crystalline La3ErTl at its relaxed geometry, computed with PBE.

Values from the calculation:
- space group = P-1 (2)
- calculated formation energy (kJ per mole of atoms) = -12.4
- ΔE to the lowest computed polymorph (eV/atom) = 0.0105
- magnetization (μB per cell) = 0.00
- E (eV/atom) = -4.471

a b c (Å): 6.5841 6.6489 8.6022
angles (deg): 78.75 76.98 65.88
Closest atoms and distances in Å follow each position.
Positions (direct):
La: 0.1656 0.1430 0.3766  3 Tl 3.25-3.64, 1 Er 3.41, 5 La 3.53-3.55
La: 0.2027 0.6638 0.2345  4 La 3.40-3.77, 3 Tl 3.48-3.64, 3 Er 3.65-3.74
La: 0.3124 0.7958 0.7797  3 La 3.40-3.55, 2 Tl 3.47-3.57, 3 Er 3.68-3.71
La: 0.6876 0.2042 0.2203  3 La 3.40-3.55, 2 Tl 3.47-3.57, 3 Er 3.68-3.71
La: 0.7973 0.3362 0.7655  4 La 3.40-3.77, 3 Tl 3.48-3.64, 3 Er 3.65-3.74
La: 0.8344 0.8570 0.6234  3 Tl 3.25-3.64, 1 Er 3.41, 5 La 3.53-3.55
Er: 0.2706 0.2655 0.9697  1 Tl 3.10, 1 La 3.41
Er: 0.7294 0.7345 0.0303  1 Tl 3.10, 1 La 3.41
Tl: 0.3478 0.3576 0.5981  1 Er 3.10, 2 La 3.25-3.47, 1 Tl 3.28
Tl: 0.6522 0.6424 0.4019  1 Er 3.10, 2 La 3.25-3.47, 1 Tl 3.28